## BaFeRh2F (PBE+U)

Data for an optimized crystal structure of BaFeRh2F.

Lattice parameters (Å, degrees): 5.070 5.070 6.734 90.00 90.00 90.00
Fractional positions:
Ba 0.000 0.000 0.000
Fe 0.000 0.000 0.500
Rh 0.000 0.500 0.000
Rh 0.500 0.000 0.000
F 0.500 0.500 0.500

## Properties
VASP energy   -16.67 eV per cell
Space group   P4/mmm (123)
Total moment   5.05 μB per formula unit
Theoretical density   4.01 Mg/m³
V   173.1 Å³ per cell